(1)
First-principles (PBE) data for a relaxed KAl2Au2 crystal, as listed in the Alexandria database.

Structure (POSCAR):
```
KAl2Au2
1.0
-1.6992 6.6135 4.8696
-7.3319 1.0191 -3.9424
-1.2410 -1.6955 1.8696
Al K Au
4 2 4
direct
0.6265 0.1265 0.0000
0.3735 0.8735 0.0000
0.8735 0.6265 0.0000
0.1265 0.3735 0.0000
0.0000 0.0000 0.0000
0.5000 0.5000 0.0000
0.1645 0.6645 0.5000
0.6645 0.8355 0.5000
0.3355 0.1645 0.5000
0.8355 0.3355 0.5000
```

DOS at the Fermi energy: 2.646 states/eV/cell
Calculated density: 8.176 g cm⁻³
Energy of formation from the pure elements: -0.241 eV/atom
Distance to the lowest polymorph of the same formula: 0.45 eV/f.u.
Space group: No. 127

=====

(2)
First-principles (PBE) data for a relaxed K2AlAu crystal, as listed in the Alexandria database.

Structure (POSCAR):
```
K2AlAu
1.0
5.4232 -0.3052 0.0000
0.1770 5.4289 0.0000
-2.8001 -2.5618 3.8860
K Au Al
2 1 1
direct
0.0000 0.0000 0.0000
0.2500 0.7500 0.5000
0.7500 0.2500 0.5000
0.5000 0.5000 0.0000
```

DOS at the Fermi energy: 3.327 states/eV/cell
Calculated density: 4.377 g cm⁻³
Energy of formation from the pure elements: 0.170 eV/atom
Distance to the lowest polymorph of the same formula: 1.38 eV/f.u.
Space group: No. 119

=====

(3)
First-principles (PBE) data for a relaxed K2AlAu crystal, as listed in the Alexandria database.

Structure (POSCAR):
```
K2AlAu
1.0
4.4774 0.0000 0.0000
0.0000 4.4262 0.0000
0.0000 0.0000 6.3082
K Al Au
2 1 1
direct
0.0000 0.0000 0.5105
0.0000 0.0000 0.9895
0.5000 0.5000 0.2500
0.5000 0.5000 0.7500
```

DOS at the Fermi energy: 2.098 states/eV/cell
Calculated density: 4.013 g cm⁻³
Energy of formation from the pure elements: 0.139 eV/atom
Distance to the lowest polymorph of the same formula: 1.26 eV/f.u.
Space group: No. 47

=====

(4)
First-principles (PBE) data for a relaxed KAlAu2 crystal, as listed in the Alexandria database.

Structure (POSCAR):
```
KAlAu2
1.0
5.0061 0.0000 0.0000
2.5031 4.3354 0.0000
2.5031 1.4451 4.0875
Au K Al
2 1 1
direct
0.2500 0.2500 0.2500
0.0000 0.0000 0.0000
0.7500 0.7500 0.7500
0.5000 0.5000 0.5000
```

DOS at the Fermi energy: 1.880 states/eV/cell
Calculated density: 8.611 g cm⁻³
Energy of formation from the pure elements: 0.148 eV/atom
Distance to the lowest polymorph of the same formula: 2.14 eV/f.u.
Space group: No. 216

=====

(5)
First-principles (PBE) data for a relaxed KAl2Au6 crystal, as listed in the Alexandria database.

Structure (POSCAR):
```
KAl2Au6
1.0
-5.4189 -0.8645 6.5036
2.9619 -1.4929 7.8362
-0.4938 6.0533 5.9600
Au Al K
12 4 2
direct
0.2353 0.2353 0.7647
0.0147 0.4853 0.4853
0.7647 0.7647 0.2353
0.7647 0.2353 0.7647
0.4853 0.0147 0.4853
0.0147 0.4853 0.0147
0.2353 0.7647 0.7647
0.4853 0.4853 0.0147
0.2353 0.7647 0.2353
0.0147 0.0147 0.4853
0.4853 0.0147 0.0147
0.7647 0.2353 0.2353
0.1250 0.1250 0.1250
0.1250 0.6250 0.1250
0.1250 0.1250 0.6250
0.6250 0.1250 0.1250
0.5000 0.5000 0.5000
0.7500 0.7500 0.7500
```

DOS at the Fermi energy: 7.703 states/eV/cell
Calculated density: 9.718 g cm⁻³
Energy of formation from the pure elements: -0.099 eV/atom
Space group: No. 227

=====

(6)
First-principles (PBE) data for a relaxed KAl2Au crystal, as listed in the Alexandria database.

Structure (POSCAR):
```
KAl2Au
1.0
3.8833 0.0000 0.0000
0.0000 3.0082 0.1876
0.0000 2.4981 8.1726
Al K Au
2 1 1
direct
0.5000 0.2273 0.2731
0.0000 0.9264 0.0729
0.5000 0.7605 0.7385
0.0000 0.5858 0.4155
```

DOS at the Fermi energy: 1.447 states/eV/cell
Calculated density: 5.143 g cm⁻³
Energy of formation from the pure elements: -0.042 eV/atom
Space group: No. 6

=====

(7)
First-principles (PBE) data for a relaxed KAl2Au crystal, as listed in the Alexandria database.

Structure (POSCAR):
```
KAl2Au
1.0
-0.2360 -4.4458 0.3649
3.0377 -2.5717 -2.0279
4.6261 -2.1058 4.6798
K Al Au
1 2 1
direct
0.2457 0.2457 0.2626
0.7730 0.7730 0.6814
0.0564 0.0564 0.8309
0.4250 0.4250 0.7252
```

DOS at the Fermi energy: 1.212 states/eV/cell
Calculated density: 4.348 g cm⁻³
Energy of formation from the pure elements: -0.223 eV/atom
Space group: No. 160

=====

(8)
First-principles (PBE) data for a relaxed KLaAl2Au crystal, as listed in the Alexandria database.

Structure (POSCAR):
```
KLaAl2Au
1.0
-1.8160 -3.4445 -4.4922
-0.6652 -4.3489 3.6036
-5.6179 1.6762 0.9858
Al Au K La
2 1 1 1
direct
0.0000 0.0000 0.5000
0.5000 0.0000 0.0000
0.0000 0.5000 0.0000
0.5000 0.5000 0.5000
0.0000 0.0000 0.0000
```

DOS at the Fermi energy: 4.576 states/eV/cell
Calculated density: 3.544 g cm⁻³
Energy of formation from the pure elements: 0.506 eV/atom
Space group: No. 123

=====

(9)
First-principles (PBE) data for a relaxed K2LiAl3Au12 crystal, as listed in the Alexandria database.

Structure (POSCAR):
```
K2LiAl3Au12
1.0
-3.9148 -5.6841 4.4943
4.9991 -4.9154 4.3221
0.0275 1.4950 8.0992
Au Al K Li
12 3 2 1
direct
0.0198 0.6547 0.6547
0.8766 0.3491 0.8766
0.3453 0.9802 0.3453
0.3491 0.8766 0.8766
0.6509 0.1234 0.1234
0.1234 0.6509 0.1234
0.6547 0.0198 0.6547
0.8766 0.8766 0.3491
0.3453 0.3453 0.9802
0.9802 0.3453 0.3453
0.6547 0.6547 0.0198
0.1234 0.1234 0.6509
0.0000 0.0000 0.5000
0.0000 0.5000 0.0000
0.5000 0.0000 0.0000
0.5988 0.5988 0.5988
0.4012 0.4012 0.4012
0.0000 0.0000 0.0000
```

DOS at the Fermi energy: 2.959 states/eV/cell
Calculated density: 9.444 g cm⁻³
Energy of formation from the pure elements: -0.149 eV/atom
Space group: No. 166

=====

(10)
First-principles (PBE) data for a relaxed KLi2AlAu crystal, as listed in the Alexandria database.

Structure (POSCAR):
```
KLi2AlAu
1.0
5.1996 0.0000 0.0000
0.0000 5.1996 0.0000
0.0000 0.0000 4.8646
K Li Al Au
1 2 1 1
direct
0.5000 0.5000 0.5000
0.5000 0.0000 0.0000
0.0000 0.5000 0.0000
0.0000 0.0000 0.5000
0.0000 0.0000 0.0000
```

DOS at the Fermi energy: 2.369 states/eV/cell
Calculated density: 3.496 g cm⁻³
Energy of formation from the pure elements: -0.170 eV/atom
Space group: No. 123

=====

(11)
First-principles (PBE) data for a relaxed K2MgAl3Au12 crystal, as listed in the Alexandria database.

Structure (POSCAR):
```
K2MgAl3Au12
1.0
8.2367 -0.4454 -0.3159
3.6805 7.3822 -0.3159
3.6805 2.1423 7.0715
Au K Mg Al
12 2 1 3
direct
0.3420 0.3420 0.9855
0.0145 0.6580 0.6580
0.1287 0.1287 0.6437
0.3563 0.8713 0.8713
0.6580 0.0145 0.6580
0.9855 0.3420 0.3420
0.8713 0.8713 0.3563
0.6580 0.6580 0.0145
0.3420 0.9855 0.3420
0.1287 0.6437 0.1287
0.6437 0.1287 0.1287
0.8713 0.3563 0.8713
0.4046 0.4046 0.4046
0.5954 0.5954 0.5954
0.0000 0.0000 0.0000
0.5000 0.0000 0.0000
0.0000 0.0000 0.5000
0.0000 0.5000 0.0000
```

DOS at the Fermi energy: 6.049 states/eV/cell
Calculated density: 9.321 g cm⁻³
Energy of formation from the pure elements: -0.142 eV/atom
Space group: No. 166

=====

(12)
First-principles (PBE) data for a relaxed K2NaAlAu crystal, as listed in the Alexandria database.

Structure (POSCAR):
```
K2NaAlAu
1.0
-2.1618 5.0808 -3.4237
-4.6731 -3.7152 -2.5628
-2.9892 1.2146 3.6899
Na Au Al K
1 1 1 2
direct
0.5000 0.5000 0.5000
0.0000 0.0000 0.0000
0.0000 0.0000 0.5000
0.5000 0.0000 0.0000
0.0000 0.5000 0.0000
```

DOS at the Fermi energy: 3.297 states/eV/cell
Calculated density: 2.610 g cm⁻³
Energy of formation from the pure elements: -0.030 eV/atom
Space group: No. 123

=====

(13)
First-principles (PBE) data for a relaxed K2AlOsAu crystal, as listed in the Alexandria database.

Structure (POSCAR):
```
K2AlOsAu
1.0
-0.1823 3.8052 -4.7463
-2.4284 -3.3383 -2.5831
-5.2722 2.2702 2.0226
Os K Au Al
1 2 1 1
direct
0.5000 0.5000 0.5000
0.5000 0.0000 0.0000
0.0000 0.0000 0.5000
0.0000 0.0000 0.0000
0.0000 0.5000 0.0000
```

DOS at the Fermi energy: 5.514 states/eV/cell
Calculated density: 4.533 g cm⁻³
Energy of formation from the pure elements: 1.211 eV/atom
Space group: No. 123

=====

(14)
First-principles (PBE) data for a relaxed KAlPdAu2 crystal, as listed in the Alexandria database.

Structure (POSCAR):
```
KAlPdAu2
1.0
5.2093 0.0000 0.0000
0.0000 5.3724 0.0000
0.0000 0.0000 5.2093
K Au Al Pd
1 2 1 1
direct
0.0000 0.5000 0.0000
0.0000 0.0000 0.5000
0.5000 0.0000 0.0000
0.5000 0.5000 0.5000
0.0000 0.0000 0.0000
```

DOS at the Fermi energy: 2.197 states/eV/cell
Calculated density: 6.452 g cm⁻³
Energy of formation from the pure elements: 0.512 eV/atom
Space group: No. 123

=====

(15)
First-principles (PBE) data for a relaxed K2RbAlAu crystal, as listed in the Alexandria database.

Structure (POSCAR):
```
K2RbAlAu
1.0
7.3486 0.0000 0.0000
0.0000 6.1400 0.0000
0.0000 0.0000 7.3486
Rb Au K Al
1 1 2 1
direct
0.0000 0.0000 0.0000
0.5000 0.5000 0.5000
0.5000 0.0000 0.0000
0.0000 0.0000 0.5000
0.0000 0.5000 0.0000
```

DOS at the Fermi energy: 4.994 states/eV/cell
Calculated density: 1.941 g cm⁻³
Energy of formation from the pure elements: 0.841 eV/atom
Distance to the lowest polymorph of the same formula: 4.42 eV/f.u.
Space group: No. 123

=====

(16)
First-principles (PBE) data for a relaxed K2RbAlAu crystal, as listed in the Alexandria database.

Structure (POSCAR):
```
K2RbAlAu
1.0
6.6324 0.0000 0.0000
0.0000 6.6324 0.0000
0.0000 0.0000 4.9663
Al K Rb Au
1 2 1 1
direct
0.0000 0.0000 0.5000
0.5000 0.0000 0.0000
0.0000 0.5000 0.0000
0.5000 0.5000 0.5000
0.0000 0.0000 0.0000
```

DOS at the Fermi energy: 2.971 states/eV/cell
Calculated density: 2.946 g cm⁻³
Energy of formation from the pure elements: -0.044 eV/atom
Distance to the lowest polymorph of the same formula: 0.00 eV/f.u.
Space group: No. 123

=====

(17)
First-principles (PBE) data for a relaxed K2AlRuAu crystal, as listed in the Alexandria database.

Structure (POSCAR):
```
K2AlRuAu
1.0
6.4169 0.0000 0.0000
0.0000 4.7306 0.0000
0.0000 0.0000 6.4169
K Ru Al Au
2 1 1 1
direct
0.0000 0.0000 0.5000
0.5000 0.0000 0.0000
0.5000 0.5000 0.5000
0.0000 0.0000 0.0000
0.0000 0.5000 0.0000
```

DOS at the Fermi energy: 9.976 states/eV/cell
Calculated density: 3.437 g cm⁻³
Energy of formation from the pure elements: 1.083 eV/atom
Space group: No. 123

=====

(18)
First-principles (PBE) data for a relaxed KAlSbAu3 crystal, as listed in the Alexandria database.

Structure (POSCAR):
```
KAlSbAu3
1.0
7.7926 -0.8968 0.0000
0.7819 6.7933 0.0010
0.3911 3.3975 6.4075
Sb Au Al K
2 6 2 2
direct
0.2500 0.5260 0.9480
0.7500 0.4740 0.0520
0.2500 0.7366 0.5269
0.7500 0.2634 0.4731
0.5000 0.7922 0.0002
0.0000 0.2078 0.9998
0.0000 0.7922 0.0002
0.5000 0.2078 0.9998
0.2500 0.9287 0.1427
0.7500 0.0713 0.8573
0.2500 0.2348 0.5304
0.7500 0.7652 0.4696
```

DOS at the Fermi energy: 3.419 states/eV/cell
Calculated density: 7.526 g cm⁻³
Space group: No. 63
Raw formation energy: -264.0 meV/atom

=====

(19)
First-principles (PBE) data for a relaxed KAlSbAu2 crystal, as listed in the Alexandria database.

Structure (POSCAR):
```
KAlSbAu2
1.0
-3.1279 2.5208 3.6275
0.4660 -4.3389 3.4170
4.3939 2.2334 2.2368
Au Sb Al K
2 1 1 1
direct
0.5000 0.0000 0.0000
0.0000 0.0000 0.5000
0.0000 0.0000 0.0000
0.0000 0.5000 0.0000
0.5000 0.5000 0.5000
```

DOS at the Fermi energy: 2.799 states/eV/cell
Calculated density: 5.949 g cm⁻³
Space group: No. 123
Raw formation energy: 183.3 meV/atom

=====

(20)
First-principles (PBE) data for a relaxed KAl2Sn2Au6 crystal, as listed in the Alexandria database.

Structure (POSCAR):
```
KAl2Sn2Au6
1.0
-3.6465 -4.4455 -3.3235
-3.1959 -5.2909 3.9545
-3.2315 6.4248 -5.0723
Sn K Al Au
2 1 2 6
direct
0.3500 0.3032 0.2902
0.6500 0.6968 0.7098
0.5000 0.0000 0.5000
0.0938 0.8110 0.2601
0.9062 0.1890 0.7399
0.5746 0.3025 0.0147
0.1217 0.3049 0.0171
0.8783 0.6951 0.9829
0.1114 0.7813 0.7577
0.8886 0.2187 0.2423
0.4254 0.6975 0.9853
```

DOS at the Fermi energy: 3.167 states/eV/cell
Calculated density: 10.096 g cm⁻³
Energy of formation from the pure elements: -0.215 eV/atom
Space group: No. 2

=====

(21)
First-principles (PBE) data for a relaxed KAlSnAu3 crystal, as listed in the Alexandria database.

Structure (POSCAR):
```
KAlSnAu3
1.0
7.1348 0.0000 0.0000
0.0000 7.1050 0.0000
0.0000 -3.5525 6.7672
Al K Au Sn
2 2 6 2
direct
0.2500 0.0800 0.1599
0.7500 0.9200 0.8401
0.7500 0.2339 0.4678
0.2500 0.7661 0.5322
0.7500 0.7380 0.4759
0.0000 0.7938 0.0000
0.5000 0.2062 0.0000
0.2500 0.2620 0.5241
0.0000 0.2062 0.0000
0.5000 0.7938 0.0000
0.2500 0.4619 0.9239
0.7500 0.5381 0.0761
```

DOS at the Fermi energy: 2.339 states/eV/cell
Calculated density: 7.509 g cm⁻³
Energy of formation from the pure elements: -0.277 eV/atom
Space group: No. 63

=====

(22)
First-principles (PBE) data for a relaxed K2AlTcAu crystal, as listed in the Alexandria database.

Structure (POSCAR):
```
K2AlTcAu
1.0
6.5041 0.0000 0.0000
0.0000 4.7215 0.0000
0.0000 0.0000 6.5041
K Tc Al Au
2 1 1 1
direct
0.5000 0.0000 0.0000
0.0000 0.0000 0.5000
0.5000 0.5000 0.5000
0.0000 0.0000 0.0000
0.0000 0.5000 0.0000
```

DOS at the Fermi energy: 5.278 states/eV/cell
Calculated density: 3.327 g cm⁻³
Energy of formation from the pure elements: 1.117 eV/atom
Space group: No. 123

=====

(23)
First-principles (PBE) data for a relaxed K2AlTlAu crystal, as listed in the Alexandria database.

Structure (POSCAR):
```
K2AlTlAu
1.0
6.5667 0.0000 0.0000
0.0000 4.7688 0.0000
0.0000 0.0000 6.5667
Al Au K Tl
1 1 2 1
direct
0.0000 0.0000 0.0000
0.0000 0.5000 0.0000
0.0000 0.0000 0.5000
0.5000 0.0000 0.0000
0.5000 0.5000 0.5000
```

DOS at the Fermi energy: 2.511 states/eV/cell
Calculated density: 4.090 g cm⁻³
Energy of formation from the pure elements: 0.111 eV/atom
Space group: No. 123

=====

(24)
First-principles (PBE) data for a relaxed La2AlAu7 crystal, as listed in the Alexandria database.

Structure (POSCAR):
```
La2AlAu7
1.0
4.1040 0.0000 0.0000
0.0000 4.1040 0.0000
0.0000 0.0000 13.2194
Au La Al
7 2 1
direct
0.0000 0.5000 0.8584
0.0000 0.5000 0.6502
0.0000 0.0000 0.5000
0.5000 0.0000 0.1416
0.5000 0.0000 0.3498
0.0000 0.0000 0.0000
0.5000 0.5000 0.5000
0.5000 0.0000 0.7532
0.0000 0.5000 0.2468
0.5000 0.5000 0.0000
```

DOS at the Fermi energy: 4.757 states/eV/cell
Calculated density: 12.556 g cm⁻³
Energy of formation from the pure elements: -0.563 eV/atom
Space group: No. 115